(1)
Entry from Alexandria: crystalline Hg3RuPt at its relaxed geometry (PBE-GGA).

a = 5.1441 Å, b = 5.1441 Å, c = 5.1441 Å
α = 90.00°, β = 90.00°, γ = 90.00°
Site moments in Bohr magnetons follow the coordinates.
Fractional coordinates of all 5 atoms:
Pt 0.5000 0.5000 0.5000  0.15
Hg 0.0000 0.0000 0.5000  0.03
Ru 0.0000 0.0000 0.0000  1.05
Hg 0.0000 0.5000 0.0000  0.02
Hg 0.5000 0.0000 0.0000  -0.01

The value obtained for the theoretical density is 11.0 g/cm3. The energy of formation is 1162 meV per atom.


(2)
Entry from Alexandria: crystalline HgRuPt2 at its relaxed geometry (PBE-GGA).

a = 4.8699 Å, b = 4.8699 Å, c = 4.8699 Å
α = 130.30°, β = 130.30°, γ = 72.92°
Site moments in Bohr magnetons follow the coordinates.
Fractional coordinates of all 4 atoms:
Pt 0.2500 0.7500 0.5000  0.11
Pt 0.0000 0.0000 0.0000  0.07
Ru 0.5000 0.5000 0.0000  0.53
Hg 0.7500 0.2500 0.5000  0.00

The value obtained for the theoretical density is 17.5 g/cm3. The energy of formation is 266 meV per atom.


Which value of energy of formation does entry 1 give?
1162 meV per atom


What did the second record say?
Entry from Alexandria: crystalline HgRuPt2 at its relaxed geometry (PBE-GGA).

a = 4.8699 Å, b = 4.8699 Å, c = 4.8699 Å
α = 130.30°, β = 130.30°, γ = 72.92°
Site moments in Bohr magnetons follow the coordinates.
Fractional coordinates of all 4 atoms:
Pt 0.2500 0.7500 0.5000  0.11
Pt 0.0000 0.0000 0.0000  0.07
Ru 0.5000 0.5000 0.0000  0.53
Hg 0.7500 0.2500 0.5000  0.00

The value obtained for the theoretical density is 17.5 g/cm3. The energy of formation is 266 meV per atom.


Which formula does entry 1 have?
Hg3RuPt